This record from Alexandria via LeMat-Bulk describes a relaxed structure of Na3BeZn. The functional is PBE.

Summary:
V, Å³/atom: 31.527
ΔH_f (0 K), meV per atom: 636
E_tot, eV/atom: -1.155
Excess energy over the best structure of this formula in the dataset, meV per atom: 0
Crystal system: cubic
Total magnetization, μB/atom: 0.000

Unit cell a=5.402 b=5.402 c=5.402 alpha=90.00 beta=90.00 gamma=90.00
Space group Pm-3m (No. 221)
One atom of each set of equivalent atoms:
Na: 0.000 0.000 0.500 [3 per cell]
Be: 0.000 0.000 0.000 [1 per cell]
Zn: 0.500 0.500 0.500 [1 per cell]